Entry 1:
The following is a PBE calculation of a relaxed Sr3Si2Pd2 crystal, from Alexandria.

The space group is Immm (No. 71) and the conventional cell measures 4.2625, 4.6623 and 18.8235 Å, with angles of 90.00, 90.00 and 90.00 degrees. The inequivalent atoms are Sr at (0.0000, 0.0000, 0.0000), Sr at (0.0000, 0.5000, 0.3179), Si at (0.0000, 0.0000, 0.4368) and Pd at (0.0000, 0.5000, 0.1262).

The theoretical density is 4.7 g/cm³. The crystal system is orthorhombic. The value obtained for the electronic total energy is -4.358 eV/atom. As for the total moment: 0.000 μB per atom. The uncorrected formation energy comes out at -0.60 eV/atom.

Entry 2:
The following is a PBE calculation of a relaxed SrSiPd2 crystal, from Alexandria.

The space group is R-3m (No. 166, hexagonal axes) and the conventional cell measures 4.2904, 4.2904 and 16.2201 Å, with angles of 90.00, 90.00 and 120.00 degrees. The inequivalent atoms are Sr at (0.0000, 0.0000, 0.0000), Si at (0.0000, 0.0000, 0.5000) and Pd at (0.0000, 0.0000, 0.1996).

The theoretical density is 6.3 g/cm³. The crystal system is trigonal. The value obtained for the electronic total energy is -5.078 eV/atom. As for the total moment: 0.000 μB per atom. The uncorrected formation energy comes out at -0.70 eV/atom.

Entry 3:
The following is a PBE calculation of a relaxed SrSi2Pd3 crystal, from Alexandria.

The space group is C2/m (No. 12) and the conventional cell measures 15.0255, 4.1934 and 7.7306 Å, with angles of 90.00, 113.53 and 90.00 degrees. The inequivalent atoms are Sr at (0.1607, 0.0000, 0.0801), Si at (0.0153, 0.5000, 0.1649), Si at (0.1696, 0.0000, 0.6262), Pd at (0.0279, 0.0000, 0.3371), Pd at (0.1046, 0.5000, 0.6964) and Pd at (0.1790, 0.5000, 0.4221).

The theoretical density is 6.9 g/cm³. The crystal system is monoclinic. The value obtained for the electronic total energy is -5.402 eV/atom. As for the total moment: 0.000 μB per atom. The uncorrected formation energy comes out at -0.72 eV/atom.